First-principles (PBE+U) data for crystalline BaSm2CoO5 at its relaxed geometry, as listed in OQMD.

abc: 6.807 6.807 6.807
angles: 147.72 128.75 61.88
Fractional positions:
Ba  0.000  0.000  0.000
Sm  0.297  0.797  0.500
Sm  0.703  0.203  0.500
Co  0.500  0.500  0.000
O  0.110  0.353  0.757
O  0.404  0.647  0.757
O  0.500  0.000  0.500
O  0.596  0.353  0.243
O  0.890  0.647  0.243

The volume comes out at 14.5 Å³/atom. The value obtained for the uncorrected energy is -0.53074 Ry per atom. The calculated density comes out at 7.36 Mg/m³.